VASP calculation (PBE) on Be3InP after structural relaxation.

a b c (Å): 4.232 4.232 4.232
angles (deg): 90.00 90.00 90.00
Positions (direct):
Be 0.000 0.000 0.500
Be 0.000 0.500 0.000
Be 0.500 0.000 0.000
In 0.500 0.500 0.500
P 0.000 0.000 0.000

Results
Electronic total energy in eV per formula unit: -16.34
Relative energy among the computed polymorphs in eV per atom: 0.000
Formation energy from the elements in eV per atom: 0.5978
Space group: Pm-3m, No. 221